Record 1
# Tl2CuAgCl6

Tl2CuAgCl6 after structural relaxation (PBE, OQMD via LeMat-Bulk).

Structure (extended XYZ):
```
10
Lattice="-3.505 3.505 4.958 3.505 -3.505 4.958 3.505 3.505 -4.958" Properties=species:S:1:pos:R:3 pbc="T T T"
Tl 0.000 3.505 2.479
Cl 1.690 1.690 0.000
Cl 0.000 0.000 2.394
Cu 0.000 0.000 0.000
Cl 1.816 1.816 4.958
Cl -1.816 1.816 4.958
Tl 3.505 0.000 2.479
Ag 0.000 0.000 4.958
Cl 0.000 0.000 7.523
Cl 1.816 -1.816 4.958
```

The energy above the most stable polymorph in this dataset comes out at 0.0 kJ per mole of atoms. As for the crystal system: cubic.


Record 2
# Tl2CuAgCl6

Tl2CuAgCl6 after structural relaxation (PBE, OQMD via LeMat-Bulk).

Structure (extended XYZ):
```
10
Lattice="3.499 2.020 5.730 -3.499 2.020 5.730 0.000 -4.040 5.730" Properties=species:S:1:pos:R:3 pbc="T T T"
Cl -0.007 -1.954 7.214
Cl -1.696 -0.971 9.976
Tl 0.000 0.000 12.892
Ag 0.000 0.000 0.000
Cl 1.696 0.971 7.214
Cl -1.689 0.983 7.214
Cl 0.007 1.954 9.976
Tl 0.000 0.000 4.298
Cu 0.000 0.000 8.595
Cl 1.689 -0.983 9.976
```

The energy above the most stable polymorph in this dataset comes out at 0.1 kJ per mole of atoms. As for the crystal system: trigonal.


Record 3
# AgCl2F2

AgCl2F2 after structural relaxation (PBE, OQMD via LeMat-Bulk).

Structure (extended XYZ):
```
10
Lattice="5.701 0.000 0.000 0.000 5.701 0.000 0.000 0.000 5.620" Properties=species:S:1:pos:R:3 pbc="T T T"
Ag 0.000 0.000 0.000
F 4.640 3.912 0.000
Ag 2.851 2.851 0.000
F 3.912 1.061 0.000
F 1.061 1.790 0.000
Cl 4.998 2.148 2.810
Cl 0.703 3.554 2.810
F 1.790 4.640 0.000
Cl 2.148 0.703 2.810
Cl 3.554 4.998 2.810
```

As for the crystal system: tetragonal. The value obtained for the total energy is -2.6416 eV per atom.


Record 4
# Ag2ClF2

Ag2ClF2 after structural relaxation (PBE, OQMD via LeMat-Bulk).

Structure (extended XYZ):
```
10
Lattice="5.369 0.000 0.000 0.000 9.713 0.000 0.000 0.000 3.219" Properties=species:S:1:pos:R:3 pbc="T T T"
Ag 3.931 8.423 1.609
Ag 1.247 6.146 1.609
F 2.480 7.896 0.000
Ag 1.438 1.290 1.609
F 5.165 6.673 0.000
Cl 0.000 0.000 0.000
Ag 4.122 3.567 1.609
F 0.204 3.039 0.000
F 2.889 1.817 0.000
Cl 2.685 4.856 0.000
```

As for the crystal system: orthorhombic. The value obtained for the total energy is -3.0365 eV per atom.


Record 5
# AgPbClF2

AgPbClF2 after structural relaxation (PBE, OQMD via LeMat-Bulk).

Structure (extended XYZ):
```
10
Lattice="-4.213 4.951 -0.499 4.016 -1.594 4.883 3.953 3.140 -2.226" Properties=species:S:1:pos:R:3 pbc="T T T"
F -0.147 2.501 3.266
Cl 4.950 2.376 1.886
Ag -0.204 6.475 -1.485
Pb 1.914 4.790 -0.100
Ag 3.959 0.022 3.643
Cl -1.195 4.121 0.273
F 1.926 2.427 0.006
Pb 1.841 1.707 2.258
F 1.829 4.070 2.153
F -0.050 0.857 1.119
```

As for the crystal system: orthorhombic. The value obtained for the total energy is -3.8913 eV per atom.


Record 6
# Fe2AgCl6

Fe2AgCl6 after structural relaxation (PBE, OQMD via LeMat-Bulk).

Structure (extended XYZ):
```
18
Lattice="6.371 -5.875 0.000 6.371 5.875 0.000 -1.441 0.000 6.375" Properties=species:S:1:pos:R:3 pbc="T T T"
Cl 3.325 -0.866 5.734
Ag 6.011 -4.529 1.594
Cl 4.145 -2.776 2.398
Cl 10.690 -0.897 2.330
Cl 0.611 0.897 4.046
Cl 4.045 0.866 2.547
Cl 7.256 -0.866 3.829
Cl 7.156 2.776 3.977
Fe 7.788 0.997 5.073
Cl 7.976 0.866 0.641
Fe 2.792 0.997 4.490
Fe 8.509 -0.997 1.885
Cl 1.331 -0.897 0.858
Ag 5.290 4.529 4.782
Cl 9.969 0.897 5.517
Cl 3.424 2.776 5.586
Fe 3.513 -0.997 1.302
Cl 7.877 -2.776 0.790
```

As for the total magnetization: 18.00 μB/cell. As for the crystal system: monoclinic. The value obtained for the total energy is -4.0811 eV per atom.


Record 7
# FeAgICl3

FeAgICl3 after structural relaxation (PBE, OQMD via LeMat-Bulk).

Structure (extended XYZ):
```
6
Lattice="5.937 0.000 0.000 -0.066 6.036 0.000 -2.936 -2.713 5.468" Properties=species:S:1:pos:R:3 pbc="T T T"
Cl 4.582 4.446 1.436
I 1.564 -1.454 4.035
Cl 1.194 1.773 1.490
Cl -1.404 1.928 4.011
Ag 2.928 3.020 0.013
Fe -0.094 3.124 2.685
```

As for the total magnetization: 5.00 μB/cell. As for the crystal system: triclinic. The value obtained for the total energy is -3.6078 eV per atom.


Record 8
# GaAgCl4

GaAgCl4 after structural relaxation (PBE, OQMD via LeMat-Bulk).

Structure (extended XYZ):
```
12
Lattice="-3.961 5.025 -0.285 0.071 1.862 6.128 7.139 5.113 -1.966" Properties=species:S:1:pos:R:3 pbc="T T T"
Cl -0.731 3.020 4.208
Ag -1.981 2.513 -0.143
Cl 4.570 5.188 -0.435
Cl -1.322 6.811 4.312
Cl 1.106 6.936 0.468
Cl 3.980 8.979 -0.331
Cl 1.094 2.559 0.696
Ga 1.345 3.541 4.824
Ga 1.904 8.459 -0.947
Cl 2.143 5.063 3.408
Cl 2.155 9.441 3.181
Ag 3.605 3.487 2.081
```

As for the crystal system: monoclinic. The value obtained for the total energy is -3.1276 eV per atom.


Record 9
# Ga2AgI6Cl2

Ga2AgI6Cl2 after structural relaxation (PBE, OQMD via LeMat-Bulk).

Structure (extended XYZ):
```
11
Lattice="7.143 -4.599 0.000 7.143 4.599 0.000 -0.502 0.000 7.419" Properties=species:S:1:pos:R:3 pbc="T T T"
I 8.496 0.000 5.057
Ga 11.007 0.000 4.868
I 8.764 -2.641 1.204
I 5.288 0.000 2.362
Ga 2.778 0.000 2.551
Cl 11.694 0.000 2.797
Ag 0.000 0.000 0.000
Cl 2.091 0.000 4.622
I 5.020 -2.641 6.215
I 5.020 2.641 6.215
I 8.764 2.641 1.204
```

As for the crystal system: monoclinic. The value obtained for the total energy is -2.5073 eV per atom.


Record 10
# K2GaAgCl6

K2GaAgCl6 after structural relaxation (PBE, OQMD via LeMat-Bulk).

Structure (extended XYZ):
```
10
Lattice="0.000 5.067 5.067 5.067 0.000 5.067 5.067 5.067 0.000" Properties=species:S:1:pos:R:3 pbc="T T T"
K 7.601 7.601 7.601
Cl 5.067 5.067 2.673
Cl 5.067 7.462 5.067
Ga 5.067 5.067 5.067
Cl 5.067 5.067 7.462
Cl 5.067 2.673 5.067
Cl 7.462 5.067 5.067
Cl 2.673 5.067 5.067
K 2.534 2.534 2.534
Ag 0.000 0.000 0.000
```

As for the crystal system: cubic. The value obtained for the total energy is -3.2083 eV per atom.


Record 11
# Tl2GaAgCl6

Tl2GaAgCl6 after structural relaxation (PBE, OQMD via LeMat-Bulk).

Structure (extended XYZ):
```
10
Lattice="0.000 5.073 5.073 5.073 0.000 5.073 5.073 5.073 0.000" Properties=species:S:1:pos:R:3 pbc="T T T"
Ag 5.073 5.073 5.073
Cl 5.073 2.397 5.073
Cl 5.073 7.750 5.073
Ga 0.000 0.000 0.000
Tl 7.610 7.610 7.610
Cl 7.750 5.073 5.073
Cl 5.073 5.073 7.750
Cl 5.073 5.073 2.397
Cl 2.397 5.073 5.073
Tl 2.537 2.537 2.537
```

As for the crystal system: cubic. The value obtained for the total energy is -3.0791 eV per atom.


Record 12
# Rb2GdAgCl6

Rb2GdAgCl6 after structural relaxation (PBE, OQMD via LeMat-Bulk).

Structure (extended XYZ):
```
10
Lattice="-3.798 3.798 5.388 3.798 -3.798 5.388 3.798 3.798 -5.388" Properties=species:S:1:pos:R:3 pbc="T T T"
Rb 0.000 3.798 2.694
Cl 1.872 1.872 0.000
Gd 0.000 0.000 0.000
Cl 0.000 0.000 8.129
Rb 3.798 0.000 2.694
Cl 1.926 -1.926 5.388
Cl 0.000 0.000 2.647
Ag 0.000 0.000 5.388
Cl -1.926 1.926 5.388
Cl 1.926 1.926 5.388
```

As for the total magnetization: 0.00 μB/cell. As for the crystal system: tetragonal. The value obtained for the total energy is -3.8603 eV per atom.